# PBE Dy6Ho5Mg2, optimized geometry
# - E_form: 0.142 eV per atom
data_Dy6Ho5Mg2
_chemical_formula_sum 'Dy12 Ho10 Mg4'
_space_group_name_H-M_alt 'P 1'
_space_group_IT_number 1
_cell_length_a 3.524
_cell_length_b 10.289
_cell_length_c 22.386
_cell_angle_alpha 90.00
_cell_angle_beta 90.00
_cell_angle_gamma 90.00
loop_
_space_group_symop_operation_xyz
'x,y,z'
loop_
_atom_site_label
_atom_site_type_symbol
_atom_site_fract_x
_atom_site_fract_y
_atom_site_fract_z
Dy1 Dy 0.000 0.143 0.382
Dy2 Dy 0.000 0.857 0.618
Dy3 Dy 0.000 0.643 0.118
Dy4 Dy 0.000 0.357 0.882
Dy5 Dy 0.500 0.331 0.134
Dy6 Dy 0.500 0.669 0.866
Dy7 Dy 0.500 0.831 0.366
Dy8 Dy 0.500 0.169 0.634
Dy9 Dy 0.000 0.520 0.387
Dy10 Dy 0.000 0.480 0.613
Dy11 Dy 0.000 0.020 0.113
Dy12 Dy 0.000 0.980 0.887
Ho1 Ho 0.500 0.334 0.494
Ho2 Ho 0.500 0.666 0.506
Ho3 Ho 0.500 0.834 0.006
Ho4 Ho 0.500 0.166 0.994
Ho5 Ho 0.500 0.578 0.251
Ho6 Ho 0.500 0.422 0.749
Ho7 Ho 0.500 0.078 0.249
Ho8 Ho 0.500 0.922 0.751
Ho9 Ho 0.500 0.500 0.000
Ho10 Ho 0.500 0.000 0.500
Mg1 Mg 0.000 0.328 0.260
Mg2 Mg 0.000 0.672 0.740
Mg3 Mg 0.000 0.828 0.240
Mg4 Mg 0.000 0.172 0.760

***

# PBE LiPrSm2Se4, optimized geometry
# - Raw formation energy: -14.1 eV/f.u.
data_LiPrSm2Se4
_chemical_formula_sum 'Li1 Pr1 Sm2 Se4'
_space_group_name_H-M_alt 'P 1'
_space_group_IT_number 1
_cell_length_a 4.162
_cell_length_b 7.222
_cell_length_c 7.226
_cell_angle_alpha 109.33
_cell_angle_beta 90.00
_cell_angle_gamma 90.00
loop_
_space_group_symop_operation_xyz
'x,y,z'
loop_
_atom_site_label
_atom_site_type_symbol
_atom_site_fract_x
_atom_site_fract_y
_atom_site_fract_z
Li1 Li 0.500 0.500 0.000
Pr1 Pr 0.000 0.000 0.000
Sm1 Sm 0.500 0.000 0.500
Sm2 Sm 0.000 0.500 0.500
Se1 Se 0.500 0.260 0.250
Se2 Se 0.500 0.740 0.750
Se3 Se 0.000 0.259 0.754
Se4 Se 0.000 0.741 0.246

***

# PBE Tb2EuSc, optimized geometry
# - E_form: 0.174 eV per atom
# - Distance to the lowest polymorph of the same formula: 0.001 eV per atom
data_Tb2EuSc
_chemical_formula_sum 'Tb2 Eu1 Sc1'
_space_group_name_H-M_alt 'P 1'
_space_group_IT_number 1
_cell_length_a 3.480
_cell_length_b 3.480
_cell_length_c 12.397
_cell_angle_alpha 81.93
_cell_angle_beta 81.93
_cell_angle_gamma 60.00
loop_
_space_group_symop_operation_xyz
'x,y,z'
loop_
_atom_site_label
_atom_site_type_symbol
_atom_site_fract_x
_atom_site_fract_y
_atom_site_fract_z
Eu1 Eu 0.000 0.000 0.000
Sc1 Sc 0.500 0.500 0.500
Tb1 Tb 0.094 0.094 0.719
Tb2 Tb 0.906 0.906 0.281

***

# PBE TmTiGaAu, optimized geometry
# - E_form: -0.462 eV per atom
data_TmTiGaAu
_chemical_formula_sum 'Tm1 Ti1 Ga1 Au1'
_space_group_name_H-M_alt 'P 1'
_space_group_IT_number 1
_cell_length_a 4.814
_cell_length_b 4.814
_cell_length_c 4.814
_cell_angle_alpha 60.00
_cell_angle_beta 60.00
_cell_angle_gamma 60.00
loop_
_space_group_symop_operation_xyz
'x,y,z'
loop_
_atom_site_label
_atom_site_type_symbol
_atom_site_fract_x
_atom_site_fract_y
_atom_site_fract_z
Tm1 Tm 0.000 0.000 0.000
Au1 Au 0.750 0.750 0.750
Ga1 Ga 0.250 0.250 0.250
Ti1 Ti 0.500 0.500 0.500

***

# PBE SrCoP2Ru, optimized geometry
# - E_form: -0.874 eV per atom
data_SrCoP2Ru
_chemical_formula_sum 'Sr1 Co1 P2 Ru1'
_space_group_name_H-M_alt 'P 1'
_space_group_IT_number 1
_cell_length_a 3.871
_cell_length_b 3.871
_cell_length_c 6.517
_cell_angle_alpha 107.28
_cell_angle_beta 107.28
_cell_angle_gamma 90.00
loop_
_space_group_symop_operation_xyz
'x,y,z'
loop_
_atom_site_label
_atom_site_type_symbol
_atom_site_fract_x
_atom_site_fract_y
_atom_site_fract_z
Sr1 Sr 0.000 0.000 0.000
Co1 Co 0.750 0.250 0.500
P1 P 0.648 0.648 0.295
P2 P 0.352 0.352 0.705
Ru1 Ru 0.250 0.750 0.500

***

# PBE Sc4Sb3O, optimized geometry
# - Raw formation energy: -10.2 eV/f.u.
data_Sc4Sb3O
_chemical_formula_sum 'Sc8 Sb6 O2'
_space_group_name_H-M_alt 'P 1'
_space_group_IT_number 1
_cell_length_a 5.855
_cell_length_b 5.857
_cell_length_c 11.226
_cell_angle_alpha 90.00
_cell_angle_beta 90.00
_cell_angle_gamma 90.00
loop_
_space_group_symop_operation_xyz
'x,y,z'
loop_
_atom_site_label
_atom_site_type_symbol
_atom_site_fract_x
_atom_site_fract_y
_atom_site_fract_z
Sc1 Sc 0.063 0.856 0.000
Sc2 Sc 0.670 0.251 0.000
Sc3 Sc 0.055 0.235 0.244
Sc4 Sc 0.555 0.765 0.256
Sc5 Sc 0.170 0.749 0.500
Sc6 Sc 0.563 0.144 0.500
Sc7 Sc 0.555 0.765 0.744
Sc8 Sc 0.055 0.235 0.756
Sb1 Sb 0.563 0.752 0.000
Sb2 Sb 0.054 0.736 0.250
Sb3 Sb 0.554 0.264 0.250
Sb4 Sb 0.063 0.248 0.500
Sb5 Sb 0.554 0.264 0.750
Sb6 Sb 0.054 0.736 0.750
O1 O 0.000 0.186 0.000
O2 O 0.500 0.814 0.500

***

# PBE Ti2SnP, optimized geometry
# - E_form: -0.756 eV per atom
# - Distance to the lowest polymorph of the same formula: 0.000 eV per atom
data_Ti2SnP
_chemical_formula_sum 'Ti2 Sn1 P1'
_space_group_name_H-M_alt 'P 1'
_space_group_IT_number 1
_cell_length_a 3.432
_cell_length_b 3.432
_cell_length_c 7.376
_cell_angle_alpha 76.55
_cell_angle_beta 76.55
_cell_angle_gamma 60.00
loop_
_space_group_symop_operation_xyz
'x,y,z'
loop_
_atom_site_label
_atom_site_type_symbol
_atom_site_fract_x
_atom_site_fract_y
_atom_site_fract_z
Ti1 Ti 0.064 0.064 0.807
Ti2 Ti 0.269 0.269 0.192
Sn1 Sn 0.499 0.499 0.503
P1 P 0.667 0.667 0.998

***

# PBE ZrAlOs3, optimized geometry
# - E_form: 0.795 eV per atom
# - Distance to the lowest polymorph of the same formula: 0.000 eV per atom
data_ZrAlOs3
_chemical_formula_sum 'Zr1 Al1 Os3'
_space_group_name_H-M_alt 'P 1'
_space_group_IT_number 1
_cell_length_a 4.432
_cell_length_b 4.432
_cell_length_c 4.432
_cell_angle_alpha 90.00
_cell_angle_beta 90.00
_cell_angle_gamma 90.00
loop_
_space_group_symop_operation_xyz
'x,y,z'
loop_
_atom_site_label
_atom_site_type_symbol
_atom_site_fract_x
_atom_site_fract_y
_atom_site_fract_z
Os1 Os 0.000 0.500 0.000
Os2 Os 0.000 0.000 0.500
Os3 Os 0.500 0.000 0.000
Al1 Al 0.000 0.000 0.000
Zr1 Zr 0.500 0.500 0.500

***

# PBE MnTe2W, optimized geometry
# - Distance to the lowest polymorph of the same formula: 0.478 eV per atom
# - Raw formation energy: 2.2 eV/f.u.
data_MnTe2W
_chemical_formula_sum 'Mn1 Te2 W1'
_space_group_name_H-M_alt 'P 1'
_space_group_IT_number 1
_cell_length_a 4.583
_cell_length_b 4.583
_cell_length_c 5.812
_cell_angle_alpha 81.47
_cell_angle_beta 81.47
_cell_angle_gamma 44.61
loop_
_space_group_symop_operation_xyz
'x,y,z'
loop_
_atom_site_label
_atom_site_type_symbol
_atom_site_fract_x
_atom_site_fract_y
_atom_site_fract_z
Mn1 Mn 0.250 0.250 0.250
Te1 Te 0.023 0.023 0.982
Te2 Te 0.477 0.477 0.518
W1 W 0.750 0.750 0.750

***

# PBE HOsRu2W, optimized geometry
# - Distance to the lowest polymorph of the same formula: 0.037 eV per atom
data_HOsRu2W
_chemical_formula_sum 'H1 Os1 Ru2 W1'
_space_group_name_H-M_alt 'P 1'
_space_group_IT_number 1
_cell_length_a 3.880
_cell_length_b 3.880
_cell_length_c 3.992
_cell_angle_alpha 90.00
_cell_angle_beta 90.00
_cell_angle_gamma 90.00
loop_
_space_group_symop_operation_xyz
'x,y,z'
loop_
_atom_site_label
_atom_site_type_symbol
_atom_site_fract_x
_atom_site_fract_y
_atom_site_fract_z
Ru1 Ru 0.000 0.500 0.000
Ru2 Ru 0.500 0.000 0.000
Os1 Os 0.500 0.500 0.500
W1 W 0.000 0.000 0.500
H1 H 0.000 0.000 0.000

***

Total magnetic moment
In order: 0.000; 0.000; 7.999; 1.422; 0.000; 0.000; 0.000; 0.000; 4.020; 0.000
Unit: μB per formula unit
N(E_F)
In order: 47.0; 2.8; 5.6; 2.7; 2.3; 6.4; 2.8; 3.8; 3.2; 3.1
Unit: states/eV per cell